(1)
Density functional theory data (PBE) for a geometry-optimized PtCCl2 structure.

Structure (CIF):
```
data_PtCCl2
_chemical_formula_sum 'Pt3 C3 Cl6'
_space_group_name_H-M_alt 'R -3 m'
_space_group_IT_number 166
_space_group_name_Hall '-R 3 2"'
_cell_length_a 3.1614
_cell_length_b 3.1614
_cell_length_c 22.9217
_cell_angle_alpha 90.00
_cell_angle_beta 90.00
_cell_angle_gamma 120.00
loop_
_atom_site_label
_atom_site_type_symbol
_atom_site_fract_x
_atom_site_fract_y
_atom_site_fract_z
_atom_site_occupancy
Pt1 Pt 0.0000 0.0000 0.0000 1
C1 C 0.0000 0.0000 0.5000 1
Cl1 Cl 0.0000 0.0000 0.1009 1
```

Summary:
M_tot = 0.00 μB per atom
ΔE_f (raw) = 1442 meV/atom
E above lowest polymorph = 96 meV per atom
DOS(E_F) = 0.33 states/eV/atom


(2)
Density functional theory data (PBE) for a geometry-optimized Mg2MnRh structure.

Structure (CIF):
```
data_Mg2MnRh
_chemical_formula_sum 'Mg2 Mn1 Rh1'
_space_group_name_H-M_alt 'P 4 m m'
_space_group_IT_number 99
_space_group_name_Hall 'P 4 -2'
_cell_length_a 3.140
_cell_length_b 3.140
_cell_length_c 7.053
_cell_angle_alpha 90.00
_cell_angle_beta 90.00
_cell_angle_gamma 90.00
loop_
_atom_site_label
_atom_site_type_symbol
_atom_site_fract_x
_atom_site_fract_y
_atom_site_fract_z
_atom_site_occupancy
Mg1 Mg 0.000 0.000 0.000 1
Mg2 Mg 0.500 0.500 0.322 1
Mn1 Mn 0.000 0.000 0.580 1
Rh1 Rh 0.500 0.500 0.775 1
```

Summary:
M_tot = 1.01 μB per atom
ΔE_f = -129 meV/atom
DOS(E_F) = 0.55 states/eV/atom


(3)
Density functional theory data (PBE) for a geometry-optimized Li15CuAg4 structure.

Structure (CIF):
```
data_Li15CuAg4
_chemical_formula_sum 'Li15 Cu1 Ag4'
_space_group_name_H-M_alt 'P 4/m m m'
_space_group_IT_number 123
_space_group_name_Hall '-P 4 2'
_cell_length_a 4.096
_cell_length_b 4.096
_cell_length_c 19.870
_cell_angle_alpha 90.00
_cell_angle_beta 90.00
_cell_angle_gamma 90.00
loop_
_atom_site_label
_atom_site_type_symbol
_atom_site_fract_x
_atom_site_fract_y
_atom_site_fract_z
_atom_site_occupancy
Li1 Li 0.000 0.000 0.000 1
Li2 Li 0.000 0.000 0.196 1
Li3 Li 0.000 0.000 0.399 1
Li4 Li 0.000 0.500 0.094 1
Li5 Li 0.000 0.500 0.297 1
Li6 Li 0.000 0.500 0.500 1
Cu1 Cu 0.500 0.500 0.000 1
Ag1 Ag 0.500 0.500 0.196 1
Ag2 Ag 0.500 0.500 0.399 1
```

Summary:
M_tot = 0.00 μB per atom
ΔE_f = -102 meV/atom
DOS(E_F) = 0.34 states/eV/atom


(4)
Density functional theory data (PBE) for a geometry-optimized MnAuSeN2 structure.

Structure (CIF):
```
data_MnAuSeN2
_chemical_formula_sum 'Mn1 Au1 Se1 N2'
_space_group_name_H-M_alt 'P 4/m m m'
_space_group_IT_number 123
_space_group_name_Hall '-P 4 2'
_cell_length_a 3.853
_cell_length_b 3.853
_cell_length_c 5.321
_cell_angle_alpha 90.00
_cell_angle_beta 90.00
_cell_angle_gamma 90.00
loop_
_atom_site_label
_atom_site_type_symbol
_atom_site_fract_x
_atom_site_fract_y
_atom_site_fract_z
_atom_site_occupancy
Mn1 Mn 0.000 0.000 0.000 1
Au1 Au 0.500 0.500 0.000 1
Se1 Se 0.500 0.500 0.500 1
N1 N 0.000 0.500 0.500 1
```

Summary:
M_tot = 0.96 μB per atom
ΔE_f (raw) = 1616 meV/atom
E above lowest polymorph = 974 meV per atom
DOS(E_F) = 0.55 states/eV/atom


(5)
Density functional theory data (PBE) for a geometry-optimized Cd2HgPd structure.

Structure (CIF):
```
data_Cd2HgPd
_chemical_formula_sum 'Cd4 Hg2 Pd2'
_space_group_name_H-M_alt 'I m m 2'
_space_group_IT_number 44
_space_group_name_Hall 'I 2 -2'
_cell_length_a 3.133
_cell_length_b 4.594
_cell_length_c 12.072
_cell_angle_alpha 90.00
_cell_angle_beta 90.00
_cell_angle_gamma 90.00
loop_
_atom_site_label
_atom_site_type_symbol
_atom_site_fract_x
_atom_site_fract_y
_atom_site_fract_z
_atom_site_occupancy
Cd1 Cd 0.000 0.000 0.000 1
Cd2 Cd 0.000 0.500 0.195 1
Hg1 Hg 0.000 0.000 0.392 1
Pd1 Pd 0.000 0.500 0.693 1
```

Summary:
M_tot = 0.00 μB per atom
ΔE_f = -165 meV/atom
DOS(E_F) = 0.36 states/eV/atom


(6)
Density functional theory data (PBE) for a geometry-optimized PuGe4 structure.

Structure (CIF):
```
data_PuGe4
_chemical_formula_sum 'Pu1 Ge4'
_space_group_name_H-M_alt 'P m -3 m'
_space_group_IT_number 221
_space_group_name_Hall '-P 4 2 3'
_cell_length_a 5.317
_cell_length_b 5.317
_cell_length_c 5.317
_cell_angle_alpha 90.00
_cell_angle_beta 90.00
_cell_angle_gamma 90.00
loop_
_atom_site_label
_atom_site_type_symbol
_atom_site_fract_x
_atom_site_fract_y
_atom_site_fract_z
_atom_site_occupancy
Pu1 Pu 0.000 0.000 0.000 1
Ge1 Ge 0.000 0.000 0.500 1
Ge2 Ge 0.500 0.500 0.500 1
```

Summary:
M_tot = 1.14 μB per atom
ΔE_f = 917 meV/atom
DOS(E_F) = 2.22 states/eV/atom


(7)
Density functional theory data (PBE) for a geometry-optimized CoTcP structure.

Structure (CIF):
```
data_CoTcP
_chemical_formula_sum 'Co2 Tc2 P2'
_space_group_name_H-M_alt 'I m m 2'
_space_group_IT_number 44
_space_group_name_Hall 'I 2 -2'
_cell_length_a 2.851
_cell_length_b 3.634
_cell_length_c 7.196
_cell_angle_alpha 90.00
_cell_angle_beta 90.00
_cell_angle_gamma 90.00
loop_
_atom_site_label
_atom_site_type_symbol
_atom_site_fract_x
_atom_site_fract_y
_atom_site_fract_z
_atom_site_occupancy
Co1 Co 0.000 0.000 0.000 1
Tc1 Tc 0.000 0.000 0.657 1
P1 P 0.000 0.000 0.323 1
```

Summary:
M_tot = 0.17 μB per atom
E above lowest polymorph = 469 meV per atom
ΔE_f = 3 meV/atom
DOS(E_F) = 1.10 states/eV/atom


(8)
Density functional theory data (PBE) for a geometry-optimized AsIBr2F structure.

Structure (CIF):
```
data_AsIBr2F
_chemical_formula_sum 'As1 I1 Br2 F1'
_space_group_name_H-M_alt 'P 4/m m m'
_space_group_IT_number 123
_space_group_name_Hall '-P 4 2'
_cell_length_a 5.662
_cell_length_b 5.662
_cell_length_c 5.680
_cell_angle_alpha 90.00
_cell_angle_beta 90.00
_cell_angle_gamma 90.00
loop_
_atom_site_label
_atom_site_type_symbol
_atom_site_fract_x
_atom_site_fract_y
_atom_site_fract_z
_atom_site_occupancy
As1 As 0.000 0.000 0.000 1
I1 I 0.000 0.000 0.500 1
Br1 Br 0.000 0.500 0.500 1
F1 F 0.500 0.500 0.000 1
```

Summary:
M_tot = 0.20 μB per atom
ΔE_f (raw) = 492 meV/atom
E above lowest polymorph = 388 meV per atom
DOS(E_F) = 2.06 states/eV/atom


Computed theoretical density (kg/m3) in order:
6980; 4929; 2985; 7543; 10167; 5907; 8370; 3471